(1)
10
Lattice="8.345 0.000 0.000 0.000 8.345 0.000 4.172 4.172 5.521" Properties=species:S:1:pos:R:3 comment="Cs2ZnRhI6 | the Alexandria database | PBE-GGA | relaxed" total_magnetization_mub_per_fu=0.00 raw_formation_energy_mev_per_atom=-729 final_energy_ev_per_atom=-2.693 vol_a3_per_cell=384.4 pbc="T T T"
I 6.411 6.411 0.000
Cs 4.172 8.345 2.760
I 6.411 1.934 0.000
I 1.934 6.411 0.000
I 8.345 8.345 2.819
I 1.934 1.934 0.000
Zn 4.172 4.172 0.000
Cs 8.345 4.172 2.760
I 4.172 4.172 2.701
Rh 0.000 0.000 0.000

(2)
5
Lattice="-1.397 -0.751 -7.007 -5.423 -4.448 1.558 -6.015 0.636 -2.552" Properties=species:S:1:pos:R:3 comment="Cs2Ru2I | the Alexandria database | PBE-GGA | relaxed" total_magnetization_mub_per_fu=5.00 raw_formation_energy_mev_per_atom=748 final_energy_ev_per_atom=-3.614 de_polymorph_ev_per_fu=0.00 vol_a3_per_cell=214.6 pbc="T T T"
Ru -4.110 -1.730 -2.678
Cs -7.424 -3.206 -1.860
Cs -5.411 -1.358 -6.142
Ru -8.724 -2.834 -5.323
I 0.000 0.000 0.000

- Number 1 is which compound?
  Cs2ZnRhI6

- Number 1 is which compound?
  Cs2ZnRhI6